# 1
Entry from Alexandria: a relaxed Sc6In3Ir crystal (PBE).

Summary:
**ΔH_f (0 K)**: -491 meV per atom
**Crystal system**: monoclinic

Cell lengths 8.6974, 4.9058, 10.6124 Å; angles 90.00, 106.43, 90.00 degrees
Closest atoms and distances in Å follow each position.
Space group P2_1/m (No. 11)
Asymmetric unit:
1 Sc 0.0508 0.2500 0.4189 (multiplicity 2)  6 In 2.98-3.12, 3 Sc 3.15-3.26
2 Sc 0.1913 0.7500 0.1724 (multiplicity 2)  1 Ir 2.67
3 Sc 0.2808 0.2500 0.0056 (multiplicity 2)  3 Ir 2.77-2.91, 1 In 3.01
4 Sc 0.3534 0.7500 0.8209 (multiplicity 2)  3 Ir 2.79-2.94
5 Sc 0.3666 0.2500 0.3298 (multiplicity 2)  8 Sc 3.08-3.31, 3 In 3.13-3.15
6 Sc 0.4115 0.2500 0.6400 (multiplicity 2)  1 Ir 2.72, 3 In 2.97-3.01
7 In 0.0166 0.7500 0.8819 (multiplicity 2)  8 Sc 3.00-3.36, 2 In 3.24
8 In 0.1083 0.2500 0.7166 (multiplicity 2)  8 Sc 2.97-3.23, 2 In 3.24
9 In 0.2819 0.7500 0.4801 (multiplicity 2)  10 Sc 3.01-3.36
10 Ir 0.4581 0.7500 0.0950 (multiplicity 2)  8 Sc 2.67-2.94



# 2
Entry from Alexandria: a relaxed Os3PtAu crystal (PBE).

Summary:
**ΔH_f (0 K)**: 2638 meV per atom
**Crystal system**: cubic

Cell lengths 4.7695, 4.7695, 4.7695 Å; angles 90.00, 90.00, 90.00 degrees
Closest atoms and distances in Å follow each position.
Space group Pm-3m (No. 221)
Asymmetric unit:
1 Os 0.0000 0.0000 0.5000 (multiplicity 3)  2 Pt 2.38
2 Pt 0.0000 0.0000 0.0000 (multiplicity 1)  6 Os 2.38
3 Au 0.5000 0.5000 0.5000 (multiplicity 1)  12 Os 3.37



# 3
Entry from Alexandria: a relaxed Ti7Mo3Pt2 crystal (PBE).

Summary:
**ΔH_f (0 K)**: -54 meV per atom
**Crystal system**: orthorhombic

Cell lengths 4.5872, 21.0827, 4.2649 Å; angles 90.00, 90.00, 90.00 degrees
Closest atoms and distances in Å follow each position.
Space group Cmmm (No. 65)
Asymmetric unit:
1 Ti 0.0000 0.0000 0.0000 (multiplicity 2)  8 Ti 2.73-2.82
2 Ti 0.0000 0.0811 0.5000 (multiplicity 4)  2 Pt 2.62, 2 Ti 2.73, 4 Mo 2.75-2.86
3 Ti 0.0000 0.2822 0.0000 (multiplicity 4)  2 Mo 2.54, 2 Ti 2.67, 3 Pt 2.67-2.73
4 Ti 0.0000 0.4218 0.0000 (multiplicity 4)  4 Mo 2.65-2.70, 2 Pt 2.78, 3 Ti 2.82-2.94
5 Mo 0.0000 0.3472 0.5000 (multiplicity 4)  6 Ti 2.54-2.75
6 Mo 0.0000 0.5000 0.5000 (multiplicity 2)  8 Ti 2.70-2.86
7 Pt 0.0000 0.1529 0.0000 (multiplicity 4)  7 Ti 2.62-2.78



# 4
Entry from Alexandria: a relaxed NaBe2VFe crystal (PBE).

Summary:
**ΔH_f (0 K)**: 1840 meV per atom
**Crystal system**: tetragonal

Cell lengths 4.0586, 4.0586, 4.3025 Å; angles 90.00, 90.00, 90.00 degrees
Closest atoms and distances in Å follow each position.
Space group P4/mmm (No. 123)
Asymmetric unit:
1 Na 0.0000 0.0000 0.0000 (multiplicity 1)  4 Be 2.03, 2 Fe 2.15
2 Be 0.0000 0.5000 0.0000 (multiplicity 2)  2 Na 2.03
3 V 0.5000 0.5000 0.5000 (multiplicity 1)  4 Fe 2.87, 8 Be 2.96
4 Fe 0.0000 0.0000 0.5000 (multiplicity 1)  2 Na 2.15



# 5
Entry from Alexandria: a relaxed ReRh2Br crystal (PBE).

Summary:
**Crystal system**: tetragonal
**Formation energy (no corrections)**: 931 meV/atom

Cell lengths 4.1065, 4.1065, 7.4622 Å; angles 90.00, 90.00, 90.00 degrees
Closest atoms and distances in Å follow each position.
Space group I4/mmm (No. 139)
Asymmetric unit:
1 Re 0.0000 0.0000 0.0000 (multiplicity 2)  8 Rh 2.77, 4 Br 2.90
2 Rh 0.0000 0.5000 0.2500 (multiplicity 4)  4 Re 2.77, 4 Br 2.77, 4 Rh 2.90
3 Br 0.0000 0.0000 0.5000 (multiplicity 2)  8 Rh 2.77, 4 Re 2.90



# 6
Entry from Alexandria: a relaxed Rb3In2Br8 crystal (PBE).

Summary:
**Crystal system**: trigonal
**Formation energy (no corrections)**: -1199 meV/atom

Cell lengths 8.0385, 8.0385, 29.3120 Å; angles 90.00, 90.00, 120.00 degrees
Closest atoms and distances in Å follow each position.
Space group R-3m (No. 166, hexagonal axes)
Asymmetric unit:
1 Rb 0.0000 0.0000 0.0000 (multiplicity 3)  6 Br 3.68
2 Rb 0.0000 0.0000 0.2044 (multiplicity 6)  4 Br 3.37-3.65
3 In 0.0000 0.0000 0.4092 (multiplicity 6)  4 Br 2.63-2.65
4 Br 0.0000 0.0000 0.3195 (multiplicity 6)  1 In 2.63
5 Br 0.0294 0.5147 0.7694 (multiplicity 18)  1 In 2.65



| no. | uncorrected energy (eV per atom) |
| --- | --- |
| 1 | -5.9974 |
| 2 | -5.9637 |
| 3 | -8.3740 |
| 4 | -3.4305 |
| 5 | -6.2748 |
| 6 | -2.8728 |